A relaxed PmSm5N5 crystal. Source: the Alexandria database, functional PBE-GGA.

Cell: 5.100 6.228 7.199 Å, 106.72 90.00 114.17°
Positions (direct):
Pm 0.000 0.000 0.000
Sm 0.674 0.349 0.329
Sm 0.671 0.341 0.846
Sm 0.000 0.000 0.500
Sm 0.329 0.659 0.154
Sm 0.326 0.651 0.671
N 0.830 0.659 0.167
N 0.834 0.668 0.662
N 0.500 0.000 0.000
N 0.166 0.332 0.338
N 0.170 0.341 0.833

The uncorrected formation energy is -1328 meV/atom.

A relaxed ZrTi4Pb5O15 crystal. Source: the Alexandria database, functional PBE-GGA.

Cell: 14.077 14.077 4.681 Å, 90.00 90.00 157.39°
Positions (direct):
Zr 0.500 0.500 0.519
Ti 0.103 0.897 0.523
Ti 0.897 0.103 0.523
Ti 0.299 0.701 0.525
Ti 0.701 0.299 0.525
Pb 0.602 0.398 0.965
Pb 0.000 0.000 0.961
Pb 0.398 0.602 0.965
Pb 0.800 0.200 0.968
Pb 0.200 0.800 0.968
O 0.403 0.100 0.633
O 0.597 0.900 0.633
O 0.000 0.500 0.631
O 0.812 0.706 0.631
O 0.188 0.294 0.631
O 0.500 0.000 0.631
O 0.706 0.812 0.631
O 0.100 0.403 0.633
O 0.900 0.597 0.633
O 0.294 0.188 0.631
O 0.700 0.300 0.151
O 0.897 0.103 0.150
O 0.300 0.700 0.151
O 0.103 0.897 0.150
O 0.500 0.500 0.099

The uncorrected formation energy is -2333 meV/atom.

A relaxed HoTm3Pu crystal. Source: the Alexandria database, functional PBE-GGA.

Cell: 6.841 5.338 17.120 Å, 108.13 90.00 90.00°
Each line ends with the local moment (μB).
Positions (direct):
Ho 0.000 0.392 0.892  0.15
Ho 0.000 0.608 0.108  0.15
Ho 0.500 0.608 0.608  0.15
Ho 0.500 0.392 0.392  0.15
Tm 0.249 0.199 0.699  0.07
Tm 0.751 0.801 0.301  0.07
Tm 0.749 0.801 0.801  0.07
Tm 0.251 0.199 0.199  0.07
Tm 0.750 0.199 0.698  0.07
Tm 0.250 0.801 0.302  0.07
Tm 0.250 0.801 0.802  0.07
Tm 0.750 0.199 0.198  0.07
Tm 0.000 0.391 0.392  0.16
Tm 0.000 0.609 0.608  0.16
Tm 0.500 0.609 0.108  0.16
Tm 0.500 0.391 0.892  0.16
Pu 0.248 0.000 0.500  5.64
Pu 0.752 0.000 0.500  5.64
Pu 0.748 0.000 0.000  5.64
Pu 0.252 0.000 0.000  5.64

The energy above the most stable polymorph in this dataset is 29.8 meV/atom.

A relaxed Tb3Nd3Tl crystal. Source: the Alexandria database, functional PBE-GGA.

Cell: 5.656 9.556 9.556 Å, 120.03 90.00 90.00°
Positions (direct):
Tb 0.750 0.762 0.822
Tb 0.750 0.061 0.238
Tb 0.750 0.177 0.940
Tb 0.250 0.238 0.178
Tb 0.250 0.939 0.762
Tb 0.250 0.823 0.060
Nd 0.250 0.524 0.631
Nd 0.250 0.107 0.475
Nd 0.250 0.369 0.893
Nd 0.750 0.476 0.369
Nd 0.750 0.893 0.525
Nd 0.750 0.631 0.107
Tl 0.750 0.333 0.667
Tl 0.250 0.667 0.333

For the total energy, the calculation gives -4.437 eV/atom.